A geometry-optimized Dy3Ho6Cd structure. Source: Alexandria, functional PBE.

Results
Magnetic moment (μB/f.u.): 0.00
Relative energy among the computed polymorphs (eV/f.u.): 0.97
Energy (eV per atom): -4.1392
Energy relative to the elements (meV per atom): 80
Volume (Å³/cell): 1223
ρ (g/cm3): 8.63

```
data_Dy3Ho6Cd
_cell_length_a 9.540
_cell_length_b 13.909
_cell_length_c 9.218
_cell_angle_alpha 90.00
_cell_angle_beta 90.00
_cell_angle_gamma 90.00
_space_group_name_H-M_alt 'C m c 21'
_space_group_IT_number 36
_space_group_name_Hall 'C 2c -2'
loop_
_atom_site_label
_atom_site_fract_x
_atom_site_fract_y
_atom_site_fract_z
Dy1 0.000 0.025 0.000
Dy2 0.178 0.355 0.506
Ho1 0.000 0.197 0.283
Ho2 0.000 0.432 0.166
Ho3 0.176 0.150 0.693
Ho4 0.201 0.420 0.851
Cd1 0.000 0.250 0.950
```